KCaY2: relaxed, GGA-PBE.

Unit cell a=6.3724 b=3.5713 c=6.9280 alpha=82.55 beta=90.00 gamma=90.00
Fractional coordinates of all 4 atoms:
1 Y 0.0000 0.4920 0.4736
2 Y 0.0000 0.0080 0.0264
3 Ca 0.5000 0.2500 0.2500
4 K 0.5000 0.7500 0.7500

Properties
Space group: P2/m, No. 10
E above lowest polymorph: 187.5 meV per atom
Formation enthalpy at 0 K: 0.370 eV per atom
Electronic total energy: -14.548 eV for the cell shown

---

Ti12GaSb6: relaxed, GGA-PBE.

Unit cell a=7.6059 b=7.6059 c=7.6059 alpha=98.28 beta=98.28 gamma=98.28
Fractional coordinates of all 19 atoms:
1 Ti 0.1747 0.4845 0.6285
2 Ti 0.8253 0.5155 0.3715
3 Sb 0.2763 0.1593 0.5380
4 Ti 0.5155 0.3715 0.8253
5 Ti 0.3074 0.0331 0.8854
6 Ti 0.1146 0.6926 0.9669
7 Sb 0.4620 0.7237 0.8407
8 Ti 0.9669 0.1146 0.6926
9 Ti 0.6926 0.9669 0.1146
10 Ti 0.6285 0.1747 0.4845
11 Sb 0.5380 0.2763 0.1593
12 Ti 0.4845 0.6285 0.1747
13 Sb 0.1593 0.5380 0.2763
14 Ti 0.8854 0.3074 0.0331
15 Sb 0.7237 0.8407 0.4620
16 Ti 0.3715 0.8253 0.5155
17 Ti 0.0331 0.8854 0.3074
18 Sb 0.8407 0.4620 0.7237
19 Ga 0.0000 0.0000 0.0000

Properties
Space group: R-3, No. 148
E_form (uncorrected): -38 meV per atom
Electronic total energy: -123.224 eV for the cell shown

---

ZrZn2In: relaxed, GGA-PBE.

Unit cell a=3.2607 b=3.2607 c=7.2491 alpha=90.00 beta=90.00 gamma=89.87
Fractional coordinates of all 4 atoms:
1 Zr 0.5000 0.5000 0.2500
2 Zn 0.0000 0.0000 0.0001
3 In 0.5000 0.5000 0.7500
4 Zn 0.0000 0.0000 0.4999

Properties
Space group: Cmmm, No. 65
Formation enthalpy at 0 K: -0.075 eV per atom
Electronic total energy: -14.136 eV for the cell shown

---

TbPm9Tm2: relaxed, GGA-PBE.

Unit cell a=5.1116 b=5.1116 c=15.3300 alpha=90.00 beta=90.00 gamma=90.00
Fractional coordinates of all 12 atoms:
1 Pm 0.5000 0.0000 0.8323
2 Pm 0.0000 0.5000 0.5000
3 Pm 0.5000 0.5000 0.3342
4 Pm 0.0000 0.5000 0.8323
5 Tm 0.0000 0.0000 0.6660
6 Tm 0.0000 0.0000 0.3340
7 Pm 0.5000 0.0000 0.5000
8 Pm 0.5000 0.0000 0.1677
9 Pm 0.5000 0.5000 0.0000
10 Pm 0.5000 0.5000 0.6658
11 Tb 0.0000 0.0000 0.0000
12 Pm 0.0000 0.5000 0.1677

Properties
Space group: P4/mmm, No. 123
Formation enthalpy at 0 K: 0.017 eV per atom
Electronic total energy: -56.130 eV for the cell shown

---

LiIn2Ni: relaxed, GGA-PBE.

Unit cell a=8.4094 b=8.4094 c=8.4094 alpha=23.19 beta=23.19 gamma=23.19
Fractional coordinates of all 4 atoms:
1 In 0.4888 0.4888 0.4888
2 In 0.0112 0.0112 0.0112
3 Li 0.2500 0.2500 0.2500
4 Ni 0.7500 0.7500 0.7500

Properties
Space group: R-3m, No. 166
Formation enthalpy at 0 K: 0.004 eV per atom
Electronic total energy: -13.155 eV for the cell shown

---

Be2Nb2Zn: relaxed, GGA-PBE.

Unit cell a=3.4309 b=3.3666 c=6.0681 alpha=106.11 beta=90.00 gamma=90.00
Fractional coordinates of all 5 atoms:
1 Nb 0.5000 0.3627 0.7253
2 Be 0.0000 0.2008 0.4016
3 Zn 0.0000 0.0000 0.0000
4 Nb 0.5000 0.6373 0.2747
5 Be 0.0000 0.7992 0.5984

Properties
Space group: Cmmm, No. 65
E above lowest polymorph: 0.0 meV per atom
Formation enthalpy at 0 K: -0.159 eV per atom
Electronic total energy: -29.660 eV for the cell shown